Entry from Alexandria: MgAs2Br after structural relaxation (PBE).

Cell lengths 7.0753, 7.0753, 7.0753 Å; angles 151.35, 147.31, 44.01 degrees
Last column: nearest neighbours and their distance in Å.
Positions (direct):
As1 0.0303 0.0303 0.0000  4 As 2.77
As2 0.4697 0.4697 0.0000  4 As 2.77
Br1 0.7500 0.2500 0.5000  4 Mg 2.65
Mg1 0.2500 0.7500 0.5000  4 Br 2.65

Properties
Its energy relative to the lowest polymorph listed for this composition is 1.21 eV per formula unit. The uncorrected formation energy is -0.166 eV/atom.

Entry from Alexandria: Mg2AsBr after structural relaxation (PBE).

Cell lengths 7.2829, 7.2829, 4.0198 Å; angles 83.27, 83.27, 29.14 degrees
Last column: nearest neighbours and their distance in Å.
Positions (direct):
As1 0.5385 0.5385 0.3809  6 Mg 2.64-2.82
Br1 0.7966 0.7966 0.9528  3 Mg 2.73
Mg1 0.9912 0.9912 0.8937  1 Br 2.73, 4 As 2.78-2.82
Mg2 0.1736 0.1736 0.2726  2 As 2.64, 2 Br 2.73

Properties
Its energy relative to the lowest polymorph listed for this composition is 0.62 eV per formula unit. The uncorrected formation energy is -0.693 eV/atom.